Entry 1:
The following is a PBE-GGA calculation of crystalline ZrMoHIr2 at its relaxed geometry, from the Alexandria database.

Geometry as CIF:
```
data_ZrMoHIr2
_symmetry_space_group_name_H-M 'P 4/m m m'
_symmetry_Int_Tables_number 123
_symmetry_space_group_name_Hall '-P 4 2'
_cell_length_a 4.052
_cell_length_b 4.052
_cell_length_c 4.097
_cell_angle_alpha 90.00
_cell_angle_beta 90.00
_cell_angle_gamma 90.00
loop_
_atom_site_label
_atom_site_type_symbol
_atom_site_fract_x
_atom_site_fract_y
_atom_site_fract_z
Zr1 Zr 0.000 0.000 0.000
Mo1 Mo 0.500 0.500 0.000
H1 H 0.500 0.500 0.500
Ir1 Ir 0.000 0.500 0.500
```

Results
Fermi-level density of states ... 4.5 states/eV/f.u.
DFT total energy ... -0.30856 hartree per atom
M_tot ... 0.00 μB per formula unit



Entry 2:
The following is a PBE-GGA calculation of crystalline HIr3N at its relaxed geometry, from the Alexandria database.

Geometry as CIF:
```
data_HIr3N
_symmetry_space_group_name_H-M 'P m -3 m'
_symmetry_Int_Tables_number 221
_symmetry_space_group_name_Hall '-P 4 2 3'
_cell_length_a 4.016
_cell_length_b 4.016
_cell_length_c 4.016
_cell_angle_alpha 90.00
_cell_angle_beta 90.00
_cell_angle_gamma 90.00
loop_
_atom_site_label
_atom_site_type_symbol
_atom_site_fract_x
_atom_site_fract_y
_atom_site_fract_z
H1 H 0.000 0.000 0.000
Ir1 Ir 0.000 0.500 0.500
N1 N 0.500 0.500 0.500
```

Results
ΔE to the lowest computed polymorph ... 0.0 meV/atom
Fermi-level density of states ... 2.6 states/eV/f.u.
DFT total energy ... -0.23670 hartree per atom
M_tot ... 0.00 μB per formula unit



Entry 3:
The following is a PBE-GGA calculation of crystalline HIrN2 at its relaxed geometry, from the Alexandria database.

Geometry as CIF:
```
data_HIrN2
_symmetry_space_group_name_H-M 'R -3 m'
_symmetry_Int_Tables_number 166
_symmetry_space_group_name_Hall '-R 3 2"'
_cell_length_a 3.1467
_cell_length_b 3.1467
_cell_length_c 13.3277
_cell_angle_alpha 90.00
_cell_angle_beta 90.00
_cell_angle_gamma 120.00
loop_
_atom_site_label
_atom_site_type_symbol
_atom_site_fract_x
_atom_site_fract_y
_atom_site_fract_z
H1 H 0.0000 0.0000 0.0000
Ir1 Ir 0.0000 0.0000 0.5000
N1 N 0.0000 0.0000 0.0948
```

Results
ΔE to the lowest computed polymorph ... 0.0 meV/atom
Fermi-level density of states ... 2.6 states/eV/f.u.
DFT total energy ... -0.24521 hartree per atom
M_tot ... 0.00 μB per formula unit



Entry 4:
The following is a PBE-GGA calculation of crystalline HIrN2 at its relaxed geometry, from the Alexandria database.

Geometry as CIF:
```
data_HIrN2
_symmetry_space_group_name_H-M 'F m -3 m'
_symmetry_Int_Tables_number 225
_symmetry_space_group_name_Hall '-F 4 2 3'
_cell_length_a 4.969
_cell_length_b 4.969
_cell_length_c 4.969
_cell_angle_alpha 90.00
_cell_angle_beta 90.00
_cell_angle_gamma 90.00
loop_
_atom_site_label
_atom_site_type_symbol
_atom_site_fract_x
_atom_site_fract_y
_atom_site_fract_z
H1 H 0.000 0.000 0.000
Ir1 Ir 0.000 0.000 0.500
N1 N 0.250 0.250 0.250
```

Results
ΔE to the lowest computed polymorph ... 923.9 meV/atom
Fermi-level density of states ... 1.9 states/eV/f.u.
DFT total energy ... -0.21126 hartree per atom
M_tot ... 0.00 μB per formula unit



Entry 5:
The following is a PBE-GGA calculation of crystalline HIrN3 at its relaxed geometry, from the Alexandria database.

Geometry as CIF:
```
data_HIrN3
_symmetry_space_group_name_H-M 'P m -3 m'
_symmetry_Int_Tables_number 221
_symmetry_space_group_name_Hall '-P 4 2 3'
_cell_length_a 3.810
_cell_length_b 3.810
_cell_length_c 3.810
_cell_angle_alpha 90.00
_cell_angle_beta 90.00
_cell_angle_gamma 90.00
loop_
_atom_site_label
_atom_site_type_symbol
_atom_site_fract_x
_atom_site_fract_y
_atom_site_fract_z
H1 H 0.000 0.000 0.000
Ir1 Ir 0.500 0.500 0.500
N1 N 0.000 0.500 0.500
```

Results
Fermi-level density of states ... 3.3 states/eV/f.u.
DFT total energy ... -0.20138 hartree per atom
M_tot ... 0.15 μB per formula unit



Entry 6:
The following is a PBE-GGA calculation of crystalline HIrN2 at its relaxed geometry, from the Alexandria database.

Geometry as CIF:
```
data_HIrN2
_symmetry_space_group_name_H-M 'I -4 2 d'
_symmetry_Int_Tables_number 122
_symmetry_space_group_name_Hall 'I -4 2bw'
_cell_length_a 4.218
_cell_length_b 4.218
_cell_length_c 8.726
_cell_angle_alpha 90.00
_cell_angle_beta 90.00
_cell_angle_gamma 90.00
loop_
_atom_site_label
_atom_site_type_symbol
_atom_site_fract_x
_atom_site_fract_y
_atom_site_fract_z
H1 H 0.000 0.000 0.000
Ir1 Ir 0.000 0.000 0.500
N1 N 0.221 0.250 0.125
```

Results
ΔE to the lowest computed polymorph ... 578.3 meV/atom
Fermi-level density of states ... 1.6 states/eV/f.u.
DFT total energy ... -0.22396 hartree per atom
M_tot ... 0.00 μB per formula unit



Entry 7:
The following is a PBE-GGA calculation of crystalline HIrN3 at its relaxed geometry, from the Alexandria database.

Geometry as CIF:
```
data_HIrN3
_symmetry_space_group_name_H-M 'P m -3 m'
_symmetry_Int_Tables_number 221
_symmetry_space_group_name_Hall '-P 4 2 3'
_cell_length_a 3.339
_cell_length_b 3.339
_cell_length_c 3.339
_cell_angle_alpha 90.00
_cell_angle_beta 90.00
_cell_angle_gamma 90.00
loop_
_atom_site_label
_atom_site_type_symbol
_atom_site_fract_x
_atom_site_fract_y
_atom_site_fract_z
H1 H 0.000 0.000 0.000
Ir1 Ir 0.500 0.500 0.500
N1 N 0.000 0.000 0.500
```

Results
Fermi-level density of states ... 2.3 states/eV/f.u.
DFT total energy ... -0.18282 hartree per atom
M_tot ... 0.00 μB per formula unit



Entry 8:
The following is a PBE-GGA calculation of crystalline HIrN2 at its relaxed geometry, from the Alexandria database.

Geometry as CIF:
```
data_HIrN2
_symmetry_space_group_name_H-M 'R -3 m'
_symmetry_Int_Tables_number 166
_symmetry_space_group_name_Hall '-R 3 2"'
_cell_length_a 2.8237
_cell_length_b 2.8237
_cell_length_c 14.9984
_cell_angle_alpha 90.00
_cell_angle_beta 90.00
_cell_angle_gamma 120.00
loop_
_atom_site_label
_atom_site_type_symbol
_atom_site_fract_x
_atom_site_fract_y
_atom_site_fract_z
H1 H 0.0000 0.0000 0.0000
Ir1 Ir 0.0000 0.0000 0.5000
N1 N 0.0000 0.0000 0.3734
```

Results
ΔE to the lowest computed polymorph ... 1126.9 meV/atom
Fermi-level density of states ... 2.1 states/eV/f.u.
DFT total energy ... -0.20380 hartree per atom
M_tot ... 0.00 μB per formula unit



Entry 9:
The following is a PBE-GGA calculation of crystalline HIrN at its relaxed geometry, from the Alexandria database.

Geometry as CIF:
```
data_HIrN
_symmetry_space_group_name_H-M 'C 1 2/m 1'
_symmetry_Int_Tables_number 12
_cell_length_a 5.486
_cell_length_b 3.166
_cell_length_c 9.375
_cell_angle_alpha 90.00
_cell_angle_beta 101.53
_cell_angle_gamma 90.00
loop_
_symmetry_equiv_pos_as_xyz
'x,y,z'
'-x,-y,-z'
'-x,y,-z'
'x,-y,z'
'x+1/2,y+1/2,z'
'-x+1/2,-y+1/2,-z'
'-x+1/2,y+1/2,-z'
'x+1/2,-y+1/2,z'
loop_
_atom_site_label
_atom_site_type_symbol
_atom_site_fract_x
_atom_site_fract_y
_atom_site_fract_z
H1 H 0.021 0.000 0.063
Ir1 Ir 0.081 0.000 0.245
N1 N 0.228 0.000 0.687
```

Results
Fermi-level density of states ... 0.5 states/eV/f.u.
DFT total energy ... -0.23106 hartree per atom
M_tot ... 0.00 μB per formula unit



Entry 10:
The following is a PBE-GGA calculation of crystalline NaHIrN at its relaxed geometry, from the Alexandria database.

Geometry as CIF:
```
data_NaHIrN
_symmetry_space_group_name_H-M 'R 3 m'
_symmetry_Int_Tables_number 160
_symmetry_space_group_name_Hall 'R 3 -2"'
_cell_length_a 3.0524
_cell_length_b 3.0524
_cell_length_c 16.1201
_cell_angle_alpha 90.00
_cell_angle_beta 90.00
_cell_angle_gamma 120.00
loop_
_atom_site_label
_atom_site_type_symbol
_atom_site_fract_x
_atom_site_fract_y
_atom_site_fract_z
Na1 Na 0.0000 0.0000 0.0000
H1 H 0.0000 0.0000 0.2248
Ir1 Ir 0.0000 0.0000 0.4990
N1 N 0.0000 0.0000 0.7689
```

Results
ΔE to the lowest computed polymorph ... 105.1 meV/atom
Fermi-level density of states ... 0.0 states/eV/f.u.
DFT total energy ... -0.19867 hartree per atom
M_tot ... 0.00 μB per formula unit



Entry 11:
The following is a PBE-GGA calculation of crystalline NaHIrN at its relaxed geometry, from the Alexandria database.

Geometry as CIF:
```
data_NaHIrN
_symmetry_space_group_name_H-M 'C 1 m 1'
_symmetry_Int_Tables_number 8
_cell_length_a 7.300
_cell_length_b 2.790
_cell_length_c 5.246
_cell_angle_alpha 90.00
_cell_angle_beta 112.16
_cell_angle_gamma 90.00
loop_
_symmetry_equiv_pos_as_xyz
'x,y,z'
'x,-y,z'
'x+1/2,y+1/2,z'
'x+1/2,-y+1/2,z'
loop_
_atom_site_label
_atom_site_type_symbol
_atom_site_fract_x
_atom_site_fract_y
_atom_site_fract_z
Na1 Na 0.000 0.000 0.000
H1 H 0.192 0.000 0.704
Ir1 Ir 0.398 0.000 0.440
N1 N 0.116 0.000 0.492
```

Results
ΔE to the lowest computed polymorph ... 289.0 meV/atom
Fermi-level density of states ... 0.8 states/eV/f.u.
DFT total energy ... -0.19191 hartree per atom
M_tot ... 0.00 μB per formula unit



Entry 12:
The following is a PBE-GGA calculation of crystalline NaHIrN at its relaxed geometry, from the Alexandria database.

Geometry as CIF:
```
data_NaHIrN
_symmetry_space_group_name_H-M 'P m m 2'
_symmetry_Int_Tables_number 25
_cell_length_a 2.852
_cell_length_b 2.885
_cell_length_c 5.583
_cell_angle_alpha 90.00
_cell_angle_beta 90.00
_cell_angle_gamma 90.00
loop_
_symmetry_equiv_pos_as_xyz
'x,y,z'
'-x,-y,z'
'-x,y,z'
'x,-y,z'
loop_
_atom_site_label
_atom_site_type_symbol
_atom_site_fract_x
_atom_site_fract_y
_atom_site_fract_z
Na1 Na 0.000 0.000 0.000
H1 H 0.500 0.500 0.718
Ir1 Ir 0.500 0.000 0.499
N1 N 0.500 0.500 0.271
```

Results
ΔE to the lowest computed polymorph ... 173.8 meV/atom
Fermi-level density of states ... 0.5 states/eV/f.u.
DFT total energy ... -0.19615 hartree per atom
M_tot ... 0.00 μB per formula unit